Below is crystalline LuAlFeNi at its relaxed geometry, with properties calculated at the PBE level.

Geometry as POSCAR:
```
LuAlFeNi
1.0
-4.143 1.594 0.349
-1.457 3.064 -2.884
-3.066 -1.085 -3.041
Al Fe Lu Ni
1 1 1 1
direct
0.000 0.000 0.000
0.500 0.500 0.500
0.250 0.250 0.250
0.750 0.750 0.750
```

- Symmetry: F-43m
- Energy above the lowest structure with this stoichiometry: 338 meV per atom
- Total moment: 3.13 Bohr magnetons per cell
- Energy: -22.0 eV for the cell shown

***

Below is crystalline LaGdGa2Au2 at its relaxed geometry, with properties calculated at the PBE level.

Geometry as POSCAR:
```
LaGdGa2Au2
1.0
4.601 0.000 0.000
-2.300 3.984 0.000
0.000 0.000 7.433
Au Ga Gd La
2 2 1 1
direct
0.000 0.000 0.261
0.000 0.000 0.739
0.667 0.333 0.292
0.667 0.333 0.708
0.333 0.667 0.500
0.333 0.667 0.000
```

- Symmetry: P-6m2
- Energy above the lowest structure with this stoichiometry: 0 meV per atom
- Total moment: 0.01 Bohr magnetons per cell
- Energy: -27.1 eV for the cell shown

***

Below is crystalline ZnPdNO at its relaxed geometry, with properties calculated at the PBE level.

Geometry as POSCAR:
```
ZnPdNO
1.0
-0.410 -2.028 -3.346
3.901 -0.467 -0.195
-0.503 -5.649 3.486
N O Pd Zn
2 2 2 2
direct
0.750 0.750 0.393
0.250 0.250 0.607
0.750 0.250 0.000
0.250 0.750 0.000
0.750 0.250 0.500
0.250 0.750 0.500
0.750 0.750 0.081
0.250 0.250 0.919
```

- Symmetry: P4/nmm
- Energy above the lowest structure with this stoichiometry: 47 meV per atom
- Energy: -39.5 eV for the cell shown

***

Below is crystalline MgRe at its relaxed geometry, with properties calculated at the PBE level.

Geometry as POSCAR:
```
MgRe
1.0
4.451 0.000 0.000
0.000 6.262 0.000
0.000 0.000 4.442
Mg Re
4 4
direct
0.916 0.000 0.000
0.416 0.250 0.000
0.417 0.500 0.500
0.917 0.750 0.500
0.916 0.499 0.000
0.416 0.751 0.000
0.917 0.251 0.500
0.417 0.999 0.500
```

- Symmetry: Imma
- Energy above the lowest structure with this stoichiometry: 67 meV per atom
- Total moment: 0.01 Bohr magnetons per cell
- Energy: -54.8 eV for the cell shown

***

Below is crystalline HoEr3In2N2 at its relaxed geometry, with properties calculated at the PBE level.

Geometry as POSCAR:
```
HoEr3In2N2
1.0
3.485 0.000 0.000
-1.743 3.018 0.000
0.000 0.000 15.657
Er Ho In N
3 1 2 2
direct
0.333 0.667 0.084
0.333 0.667 0.416
0.000 0.000 0.584
0.000 0.000 0.916
0.000 0.000 0.250
0.333 0.667 0.749
0.667 0.333 0.001
0.667 0.333 0.500
```

- Symmetry: P3m1
- Total moment: 0.02 Bohr magnetons per cell
- Energy: -48.9 eV for the cell shown

***

Below is crystalline Tm3Mg3Cd2Au at its relaxed geometry, with properties calculated at the PBE level.

Geometry as POSCAR:
```
Tm3Mg3Cd2Au
1.0
7.601 0.000 0.000
-3.801 6.583 0.000
0.000 0.000 4.277
Au Cd Mg Tm
1 2 3 3
direct
0.000 0.000 0.000
0.667 0.333 0.500
0.333 0.667 0.500
0.242 0.000 0.500
0.000 0.242 0.500
0.758 0.758 0.500
0.597 0.000 0.000
0.403 0.403 0.000
0.000 0.597 0.000
```

- Symmetry: P-62m
- Total moment: 0.01 Bohr magnetons per cell
- Energy: -26.5 eV for the cell shown

***

- energy of number 2 (LaGdGa2Au2)?
  -27.1 eV for the cell shown

***

Repeat the fifth record exactly.
Below is crystalline HoEr3In2N2 at its relaxed geometry, with properties calculated at the PBE level.

Geometry as POSCAR:
```
HoEr3In2N2
1.0
3.485 0.000 0.000
-1.743 3.018 0.000
0.000 0.000 15.657
Er Ho In N
3 1 2 2
direct
0.333 0.667 0.084
0.333 0.667 0.416
0.000 0.000 0.584
0.000 0.000 0.916
0.000 0.000 0.250
0.333 0.667 0.749
0.667 0.333 0.001
0.667 0.333 0.500
```

- Symmetry: P3m1
- Total moment: 0.02 Bohr magnetons per cell
- Energy: -48.9 eV for the cell shown

***

- The highest energy belongs to which entry?
  LuAlFeNi